DFT (PBE) results for an optimized crystal structure of SrYTl.

Computed properties:
Energy of formation ... -222 meV per atom
Energy above the most stable polymorph in this dataset ... 84.8 meV per atom
Total energy ... -3.726 eV/atom
Crystal system ... tetragonal

Unit cell a=3.977 b=3.977 c=12.974 alpha=90.00 beta=90.00 gamma=90.00
Fractional positions:
Sr1 0.000 0.000 0.000
Sr2 0.000 0.000 0.324
Y1 0.000 0.000 0.623
Y2 0.500 0.500 0.785
Tl1 0.500 0.500 0.155
Tl2 0.500 0.500 0.497

DFT (PBE) results for an optimized crystal structure of SrY2Tl.

Computed properties:
Energy of formation ... 27 meV per atom
Energy above the most stable polymorph in this dataset ... 181.6 meV per atom
Total energy ... -4.217 eV/atom
Crystal system ... monoclinic

Unit cell a=6.969 b=12.014 c=3.586 alpha=90.00 beta=117.90 gamma=90.00
Fractional positions:
Sr1 0.000 0.000 0.000
Sr2 0.500 0.500 0.000
Y1 0.250 0.250 0.500
Y2 0.250 0.750 0.500
Y3 0.750 0.250 0.500
Y4 0.750 0.750 0.500
Tl1 0.000 0.500 0.000
Tl2 0.500 0.000 0.000

DFT (PBE) results for an optimized crystal structure of SrYTl.

Computed properties:
Energy of formation ... 509 meV per atom
Energy above the most stable polymorph in this dataset ... 815.8 meV per atom
Total energy ... -2.995 eV/atom
Crystal system ... hexagonal

Unit cell a=5.585 b=5.585 c=11.793 alpha=90.00 beta=90.00 gamma=120.00
Fractional positions:
Sr1 0.333 0.667 0.250
Sr2 0.667 0.333 0.750
Y1 0.000 0.000 0.000
Y2 0.000 0.000 0.500
Tl1 0.000 0.000 0.250
Tl2 0.000 0.000 0.750

DFT (PBE) results for an optimized crystal structure of SrYTl.

Computed properties:
Energy of formation ... -248 meV per atom
Energy above the most stable polymorph in this dataset ... 58.4 meV per atom
Total energy ... -3.752 eV/atom
Crystal system ... orthorhombic

Unit cell a=4.046 b=17.684 c=5.700 alpha=90.00 beta=90.00 gamma=90.00
Fractional positions:
Sr1 0.000 0.076 0.250
Sr2 0.000 0.924 0.750
Sr3 0.500 0.424 0.750
Sr4 0.500 0.576 0.250
Y1 0.000 0.229 0.750
Y2 0.000 0.771 0.250
Y3 0.500 0.271 0.250
Y4 0.500 0.729 0.750
Tl1 0.000 0.406 0.250
Tl2 0.000 0.594 0.750
Tl3 0.500 0.094 0.750
Tl4 0.500 0.906 0.250

DFT (PBE) results for an optimized crystal structure of SrY2Tl.

Computed properties:
Energy of formation ... -133 meV per atom
Energy above the most stable polymorph in this dataset ... 21.9 meV per atom
Total energy ... -4.377 eV/atom
Crystal system ... tetragonal

Unit cell a=3.775 b=3.775 c=9.565 alpha=90.00 beta=90.00 gamma=90.00
Fractional positions:
Sr1 0.000 0.000 0.000
Y1 0.000 0.000 0.444
Y2 0.500 0.500 0.685
Tl1 0.500 0.500 0.242

DFT (PBE) results for an optimized crystal structure of SrY2Tl.

Computed properties:
Energy of formation ... -72 meV per atom
Energy above the most stable polymorph in this dataset ... 82.9 meV per atom
Total energy ... -4.316 eV/atom
Crystal system ... tetragonal

Unit cell a=3.732 b=3.732 c=9.921 alpha=90.00 beta=90.00 gamma=90.00
Fractional positions:
Sr1 0.000 0.000 0.000
Y1 0.500 0.500 0.304
Y2 0.500 0.500 0.696
Tl1 0.000 0.000 0.500

DFT (PBE) results for an optimized crystal structure of SrYTl.

Computed properties:
Energy of formation ... -239 meV per atom
Energy above the most stable polymorph in this dataset ... 68.1 meV per atom
Total energy ... -3.743 eV/atom
Crystal system ... orthorhombic

Unit cell a=6.692 b=7.054 c=8.693 alpha=90.00 beta=90.00 gamma=90.00
Fractional positions:
Sr1 0.000 0.250 0.137
Sr2 0.000 0.750 0.863
Sr3 0.500 0.250 0.363
Sr4 0.500 0.750 0.637
Y1 0.250 0.250 0.750
Y2 0.250 0.750 0.250
Y3 0.750 0.250 0.750
Y4 0.750 0.750 0.250
Tl1 0.000 0.000 0.500
Tl2 0.000 0.500 0.500
Tl3 0.500 0.000 0.000
Tl4 0.500 0.500 0.000

DFT (PBE) results for an optimized crystal structure of SrY2Tl.

Computed properties:
Energy of formation ... 53 meV per atom
Energy above the most stable polymorph in this dataset ... 207.3 meV per atom
Total energy ... -4.191 eV/atom
Crystal system ... cubic

Unit cell a=7.959 b=7.959 c=7.959 alpha=90.00 beta=90.00 gamma=90.00
Fractional positions:
Sr1 0.000 0.000 0.000
Sr2 0.000 0.500 0.500
Sr3 0.500 0.000 0.500
Sr4 0.500 0.500 0.000
Y1 0.250 0.250 0.250
Y2 0.250 0.250 0.750
Y3 0.250 0.750 0.250
Y4 0.250 0.750 0.750
Y5 0.750 0.250 0.250
Y6 0.750 0.250 0.750
Y7 0.750 0.750 0.250
Y8 0.750 0.750 0.750
Tl1 0.000 0.000 0.500
Tl2 0.000 0.500 0.000
Tl3 0.500 0.000 0.000
Tl4 0.500 0.500 0.500